1.
! LiSc2CuC GGA-PBE optimized geometry; values from VASP
! size of the total moment: 0.00 μB/f.u.
! offset from the most stable computed form: 0.0331 eV per atom
! Fermi-level density of states: 3.6 states/eV/cell
! formation enthalpy at 0 K: -0.081 eV/atom
&SYSTEM
  ibrav = 0, nat = 5, ntyp = 4
/
ATOMIC_SPECIES
Sc 44.96 Sc.upf
C 12.01 C.upf
Cu 63.55 Cu.upf
Li 6.94 Li.upf
CELL_PARAMETERS angstrom
4.557 0.000 0.000
0.000 4.557 0.000
0.000 0.000 3.895
ATOMIC_POSITIONS angstrom
Sc 0.000 2.278 0.000
Sc 2.278 0.000 0.000
C 0.000 0.000 0.000
Cu 0.000 0.000 1.948
Li 2.278 2.278 1.948


2.
! K3ZrTi3Se8 GGA-PBE optimized geometry; values from VASP
! size of the total moment: 2.71 μB/f.u.
! Fermi-level density of states: 7.7 states/eV/cell
! uncorrected formation energy: -1.2535 eV per atom
&SYSTEM
  ibrav = 0, nat = 15, ntyp = 4
/
ATOMIC_SPECIES
K 39.10 K.upf
Zr 91.22 Zr.upf
Ti 47.87 Ti.upf
Se 78.96 Se.upf
CELL_PARAMETERS angstrom
-2.029 -4.231 5.907
6.918 2.992 -0.298
-6.550 5.813 1.913
ATOMIC_POSITIONS angstrom
K 0.000 0.000 0.000
K 3.459 1.496 -0.149
K 2.445 -0.619 2.804
Zr -3.275 2.907 0.957
Ti -4.290 0.791 3.910
Ti -0.830 2.287 3.761
Ti 0.184 4.403 0.808
Se 1.157 2.277 2.028
Se -2.818 2.298 5.494
Se 0.086 0.115 4.929
Se -1.747 4.460 2.593
Se -3.248 -1.326 5.073
Se 1.587 5.901 2.450
Se -2.270 0.712 2.226
Se 0.609 3.862 5.296


3.
! NdZrAlHg GGA-PBE optimized geometry; values from VASP
! size of the total moment: 0.00 μB/f.u.
! Fermi-level density of states: 2.6 states/eV/cell
! formation enthalpy at 0 K: -0.224 eV/atom
&SYSTEM
  ibrav = 0, nat = 4, ntyp = 4
/
ATOMIC_SPECIES
Nd 144.24 Nd.upf
Hg 200.59 Hg.upf
Zr 91.22 Zr.upf
Al 26.98 Al.upf
CELL_PARAMETERS angstrom
-3.199 3.404 -2.120
-1.677 -0.699 -4.797
-4.899 -1.266 -0.846
ATOMIC_POSITIONS angstrom
Nd -7.331 1.080 -5.823
Hg 0.000 0.000 0.000
Zr -2.444 0.360 -1.941
Al -4.887 0.720 -3.882


4.
! Y11Sn10 GGA-PBE optimized geometry; values from VASP
! size of the total moment: 0.00 μB/f.u.
! Fermi-level density of states: 26.3 states/eV/cell
! formation enthalpy at 0 K: -0.776 eV/atom
&SYSTEM
  ibrav = 0, nat = 42, ntyp = 2
/
ATOMIC_SPECIES
Y 88.91 Y.upf
Sn 118.71 Sn.upf
CELL_PARAMETERS angstrom
-4.237 7.153 -8.485
-10.520 0.963 5.432
10.126 2.502 5.684
ATOMIC_POSITIONS angstrom
Y -1.552 6.492 -5.117
Y -1.748 8.217 0.415
Y -6.257 1.857 5.305
Y -3.327 6.662 3.911
Y -3.078 4.125 7.748
Y -2.882 2.401 2.217
Y 1.627 8.760 -2.673
Y -1.304 3.956 -1.279
Y 0.956 2.282 1.446
Y -5.586 8.336 1.185
Y -9.427 2.040 3.012
Y -5.329 6.076 -6.064
Y -9.816 5.399 -2.031
Y -4.940 2.717 -1.022
Y -9.016 6.034 1.839
Y 1.370 6.243 0.169
Y -6.938 8.081 -2.765
Y -0.708 4.195 4.773
Y 4.386 4.584 0.792
Y -6.001 4.375 2.463
Y 2.307 2.537 5.396
Y -3.922 6.423 -2.141
Sn 2.096 3.437 -0.997
Sn 3.793 6.218 -1.804
Sn -0.254 2.232 7.160
Sn -0.140 1.233 3.957
Sn -13.101 7.206 -2.710
Sn -1.655 0.910 -0.342
Sn 2.039 4.867 3.085
Sn -6.669 5.751 -0.453
Sn -8.189 3.259 0.270
Sn -6.567 4.857 -3.322
Sn -0.744 6.856 -2.163
Sn -3.886 3.761 4.795
Sn -8.846 8.190 -0.351
Sn -0.984 5.288 1.908
Sn -8.684 6.763 -4.930
Sn -11.272 4.213 0.802
Sn 4.216 2.428 2.983
Sn -3.647 5.330 0.724
Sn -6.072 1.353 1.878
Sn -3.484 3.903 -3.855


5.
! TmScNiAg GGA-PBE optimized geometry; values from VASP
! size of the total moment: 0.00 μB/f.u.
! offset from the most stable computed form: 0.0519 eV per atom
! Fermi-level density of states: 3.5 states/eV/cell
! formation enthalpy at 0 K: -0.329 eV/atom
&SYSTEM
  ibrav = 0, nat = 4, ntyp = 4
/
ATOMIC_SPECIES
Sc 44.96 Sc.upf
Ni 58.69 Ni.upf
Tm 168.93 Tm.upf
Ag 107.87 Ag.upf
CELL_PARAMETERS angstrom
-0.142 -4.786 -0.308
1.179 -2.175 -4.111
4.080 -2.507 -0.304
ATOMIC_POSITIONS angstrom
Sc 2.558 -4.734 -2.362
Ni 3.837 -7.101 -3.543
Tm 0.000 0.000 0.000
Ag 1.279 -2.367 -1.181


6.
! Pm3Tl2Au GGA-PBE optimized geometry; values from VASP
! size of the total moment: 0.00 μB/f.u.
! offset from the most stable computed form: 0.0000 eV per atom
! Fermi-level density of states: 5.2 states/eV/cell
! formation enthalpy at 0 K: -0.517 eV/atom
&SYSTEM
  ibrav = 0, nat = 6, ntyp = 3
/
ATOMIC_SPECIES
Pm 145.00 Pm.upf
Tl 204.38 Tl.upf
Au 196.97 Au.upf
CELL_PARAMETERS angstrom
3.682 0.000 0.000
0.000 3.682 0.000
0.000 0.000 12.346
ATOMIC_POSITIONS angstrom
Pm 0.000 0.000 0.000
Pm 0.000 0.000 8.005
Pm 0.000 0.000 4.342
Tl 1.841 1.841 10.183
Tl 1.841 1.841 2.163
Au 1.841 1.841 6.173


7.
! Mg2NbN3 GGA-PBE optimized geometry; values from VASP
! size of the total moment: 0.00 μB/f.u.
! offset from the most stable computed form: 0.0000 eV per atom
! uncorrected formation energy: -0.9988 eV per atom
&SYSTEM
  ibrav = 0, nat = 12, ntyp = 3
/
ATOMIC_SPECIES
Mg 24.30 Mg.upf
Nb 92.91 Nb.upf
N 14.01 N.upf
CELL_PARAMETERS angstrom
-1.222 -0.714 -5.526
0.873 -5.304 -1.910
-4.881 -2.914 -0.869
ATOMIC_POSITIONS angstrom
Mg -0.500 -5.622 -5.986
Mg -1.951 -2.594 -1.302
Mg -4.730 -3.310 -2.320
Mg -3.279 -6.338 -7.004
Nb -3.649 -5.603 -4.048
Nb -1.581 -3.329 -4.257
N -2.994 -7.038 -2.918
N -2.237 -1.894 -5.388
N -2.455 -4.875 -5.511
N -0.629 -1.957 -2.866
N -2.776 -4.057 -2.794
N -4.602 -6.975 -5.439


8.
! TaInSbI2 GGA-PBE optimized geometry; values from VASP
! size of the total moment: 0.30 μB/f.u.
! offset from the most stable computed form: 0.0000 eV per atom
! Fermi-level density of states: 2.2 states/eV/cell
! uncorrected formation energy: 0.2642 eV per atom
&SYSTEM
  ibrav = 0, nat = 5, ntyp = 4
/
ATOMIC_SPECIES
I 126.90 I.upf
Sb 121.76 Sb.upf
In 114.82 In.upf
Ta 180.95 Ta.upf
CELL_PARAMETERS angstrom
5.674 0.000 0.000
0.000 5.674 0.000
0.000 0.000 5.419
ATOMIC_POSITIONS angstrom
I 0.000 2.837 0.000
I 2.837 0.000 0.000
Sb 0.000 0.000 2.709
In 2.837 2.837 2.709
Ta 0.000 0.000 0.000


9.
! CrAg2Pt GGA-PBE optimized geometry; values from VASP
! size of the total moment: 4.02 μB/f.u.
! offset from the most stable computed form: 0.1232 eV per atom
! Fermi-level density of states: 3.8 states/eV/cell
! formation enthalpy at 0 K: 0.217 eV/atom
&SYSTEM
  ibrav = 0, nat = 4, ntyp = 3
/
ATOMIC_SPECIES
Ag 107.87 Ag.upf
Cr 52.00 Cr.upf
Pt 195.08 Pt.upf
CELL_PARAMETERS angstrom
-1.515 -0.356 2.446
3.134 -2.258 1.612
2.244 4.583 2.058
ATOMIC_POSITIONS angstrom
Ag 0.002 0.004 0.002
Ag 1.120 2.288 1.027
Cr 1.371 -0.162 2.543
Pt 2.493 2.130 3.572


10.
! VZnI3 GGA-PBE optimized geometry; values from VASP
! size of the total moment: 2.01 μB/f.u.
! offset from the most stable computed form: 0.0000 eV per atom
! Fermi-level density of states: 5.9 states/eV/cell
! uncorrected formation energy: 0.0225 eV per atom
&SYSTEM
  ibrav = 0, nat = 5, ntyp = 3
/
ATOMIC_SPECIES
I 126.90 I.upf
Zn 65.41 Zn.upf
V 50.94 V.upf
CELL_PARAMETERS angstrom
5.559 0.000 0.000
0.000 5.559 0.000
0.000 0.000 5.559
ATOMIC_POSITIONS angstrom
I 0.000 2.779 0.000
I 0.000 0.000 2.779
I 2.779 0.000 0.000
Zn 2.779 2.779 2.779
V 0.000 0.000 0.000


11.
! ScReSe2Br GGA-PBE optimized geometry; values from VASP
! size of the total moment: 5.03 μB/f.u.
! offset from the most stable computed form: 0.1788 eV per atom
! Fermi-level density of states: 1.7 states/eV/cell
! uncorrected formation energy: 0.4408 eV per atom
&SYSTEM
  ibrav = 0, nat = 5, ntyp = 4
/
ATOMIC_SPECIES
Sc 44.96 Sc.upf
Re 186.21 Re.upf
Se 78.96 Se.upf
Br 79.90 Br.upf
CELL_PARAMETERS angstrom
5.210 0.000 0.000
0.000 5.210 0.000
0.000 0.000 5.101
ATOMIC_POSITIONS angstrom
Sc 0.000 0.000 0.000
Re 2.605 2.605 2.550
Se 0.000 2.605 0.000
Se 2.605 0.000 0.000
Br 0.000 0.000 2.550


12.
! Y2Hf2Cu GGA-PBE optimized geometry; values from VASP
! size of the total moment: 0.00 μB/f.u.
! Fermi-level density of states: 12.8 states/eV/cell
! formation enthalpy at 0 K: 0.215 eV/atom
&SYSTEM
  ibrav = 0, nat = 10, ntyp = 3
/
ATOMIC_SPECIES
Y 88.91 Y.upf
Hf 178.49 Hf.upf
Cu 63.55 Cu.upf
CELL_PARAMETERS angstrom
-4.067 -3.595 4.356
0.675 -5.639 -4.024
4.122 -1.418 2.679
ATOMIC_POSITIONS angstrom
Y 1.846 -5.034 -0.618
Y -0.071 -7.812 0.860
Y -1.115 -5.618 3.629
Y 0.801 -2.840 2.151
Hf -0.861 -6.083 -1.895
Hf -3.034 -6.714 1.115
Hf -2.531 -3.151 2.226
Hf -0.358 -2.520 -0.784
Cu 0.000 0.000 0.000
Cu -1.696 -4.617 0.166